Here is an optimized crystal structure of Sr4CoPt from Alexandria via LeMat-Bulk. Energies are from PBE.

Computed properties:
SG ... F-43m (216)
Size of the total moment ... 0.060 μB per formula unit
Formation enthalpy at 0 K ... 6.018 eV per formula unit

Lattice parameters (Å, degrees): 6.5987 6.5987 6.5987 60.00 60.00 60.00
Last column: nearest neighbours and their distance in Å.
Atoms (fractional coordinates):
Pt 0.0000 0.0000 0.0000  12 Sr 3.87, 4 Co 4.04
Co 0.7500 0.7500 0.7500  12 Sr 3.87, 4 Pt 4.04
Sr 0.3747 0.3747 0.8758  6 Sr 3.29-3.31
Sr 0.3747 0.8758 0.3747  6 Sr 3.29-3.31
Sr 0.8758 0.3747 0.3747  6 Sr 3.29-3.31
Sr 0.3747 0.3747 0.3747  6 Sr 3.29-3.31

Here is an optimized crystal structure of NaAlNi3 from Alexandria via LeMat-Bulk. Energies are from PBE.

Computed properties:
SG ... Pm-3m (221)
E above lowest polymorph ... 773.6 meV/atom
Size of the total moment ... 0.000 μB per formula unit
Formation enthalpy at 0 K ... 6.624 eV per formula unit

Lattice parameters (Å, degrees): 4.2662 4.2662 4.2662 90.00 90.00 90.00
Last column: nearest neighbours and their distance in Å.
Atoms (fractional coordinates):
Ni 0.5000 0.0000 0.0000  2 Na 2.13
Ni 0.0000 0.5000 0.0000  2 Na 2.13
Ni 0.0000 0.0000 0.5000  2 Na 2.13
Al 0.5000 0.5000 0.5000  12 Ni 3.02
Na 0.0000 0.0000 0.0000  6 Ni 2.13

Question: formation enthalpy at 0 K of number 1 (Sr4CoPt)?
Answer: 6.018 eV per formula unit

Question: Which value of size of the total moment does entry 2 give?
Answer: 0.000 μB per formula unit

Question: Look up the formation enthalpy at 0 K of the first one.
Answer: 6.018 eV per formula unit

Question: Which value of formation enthalpy at 0 K does entry 1 give?
Answer: 6.018 eV per formula unit